No. 1
## MoIrS2 (GGA-PBE)

Data for MoIrS2 after structural relaxation.

The structure belongs to space group I-42d (No. 122); the cell edges are 5.3310, 5.3310 and 10.4809 Å and the angles 90.00°, 90.00° and 90.00°. The inequivalent atoms are Mo at (0.0000, 0.0000, 0.0000), Ir at (0.0000, 0.0000, 0.5000) and S at (0.2479, 0.2500, 0.6250).

The offset from the most stable computed form comes out at 240 meV per atom. For the formation energy from raw total energies, the calculation gives -0.1 eV/f.u.



No. 2
## TbCeSc3 (GGA-PBE)

Data for TbCeSc3 after structural relaxation.

The structure belongs to space group C2/c (No. 15); the cell edges are 16.1741, 11.3141 and 6.1043 Å and the angles 90.00°, 97.17° and 90.00°. The inequivalent atoms are Tb at (0.0000, 0.0869, 0.2500), Tb at (0.0000, 0.2579, 0.7500), Ce at (0.2286, 0.0521, 0.1961), Sc at (0.0829, 0.4515, 0.4316), Sc at (0.1585, 0.2999, 0.0997) and Sc at (0.1734, 0.2047, 0.6047).

The value obtained for the formation energy is 200.0 meV per atom.



No. 3
## Li2PmAsS (GGA-PBE)

Data for Li2PmAsS after structural relaxation.

The structure belongs to space group P4mm (No. 99); the cell edges are 4.1736, 4.1736 and 6.3101 Å and the angles 90.00°, 90.00° and 90.00°. The inequivalent atoms are Li at (0.0000, 0.5000, 0.0000), Pm at (0.0000, 0.0000, 0.5819), As at (0.5000, 0.5000, 0.7011) and S at (0.0000, 0.0000, 0.1577).

For the formation energy from raw total energies, the calculation gives -6.2 eV/f.u.



No. 4
## Pa3GaNi4 (GGA-PBE)

Data for Pa3GaNi4 after structural relaxation.

The structure belongs to space group P-1 (No. 2); the cell edges are 3.8825, 5.4053 and 7.0069 Å and the angles 80.09°, 78.10° and 79.03°. The inequivalent atoms are Pa at (0.0000, 0.0000, 0.0000), Pa at (0.2146, 0.7395, 0.3878), Ga at (0.5000, 0.5000, 0.0000), Ni at (0.0562, 0.5600, 0.7773) and Ni at (0.4863, 0.1490, 0.3219).

The offset from the most stable computed form comes out at 7 meV per atom. The value obtained for the formation energy is -271.7 meV per atom.



No. 5
## MgAuBr2 (GGA-PBE)

Data for MgAuBr2 after structural relaxation.

The structure belongs to space group I-4m2 (No. 119); the cell edges are 4.0018, 4.0018 and 12.5519 Å and the angles 90.00°, 90.00° and 90.00°. The inequivalent atoms are Mg at (0.0000, 0.0000, 0.0000), Au at (0.0000, 0.5000, 0.7500), Br at (0.0000, 0.0000, 0.5000) and Br at (0.0000, 0.5000, 0.2500).

The offset from the most stable computed form comes out at 361 meV per atom. For the formation energy from raw total energies, the calculation gives -1.1 eV/f.u.



No. 6
## CuSiMo2 (GGA-PBE)

Data for CuSiMo2 after structural relaxation.

The structure belongs to space group P4mm (No. 99); the cell edges are 3.2415, 3.2415 and 5.4791 Å and the angles 90.00°, 90.00° and 90.00°. The inequivalent atoms are Cu at (0.0000, 0.0000, 0.0000), Si at (0.5000, 0.5000, 0.7873), Mo at (0.0000, 0.0000, 0.5119) and Mo at (0.5000, 0.5000, 0.2709).

For the formation energy from raw total energies, the calculation gives 0.1 eV/f.u.



no.,V (A^3/atom)
1,18.62
2,27.71
3,21.98
4,17.49
5,25.13
6,14.39